A plane-wave DFT calculation with PBE was carried out for K2SiCl after structural relaxation.

Lattice parameters (Å, degrees): 12.819 3.736 5.644 90.00 90.05 90.00
Atoms (fractional coordinates):
K  0.000  0.000  0.000
K  0.220  0.000  0.502
K  0.500  0.500  0.000
K  0.720  0.500  0.502
Si  0.239  0.500  0.002
Si  0.739  0.000  0.002
Cl  0.009  0.500  0.502
Cl  0.509  0.000  0.502

## Properties
magnetic moment	4.292	μB per cell
space-group type	No. 8
total energy	-2.74	eV/atom
excess energy over the best structure of this formula in the dataset	173	meV/atom
DOS(E_F)	1.877	states/eV/cell